# 1
First-principles (GGA-PBE) data for La12TbHo6 after structural relaxation, as listed in Alexandria.

**E**: -4.576 eV/atom
**N(E_F)**: 1.810 states/eV/atom
**Total magnetic moment**: 0.0 Bohr magnetons per cell
**Symmetry**: R-3 (148)
**Energy of formation from the pure elements**: 0.225 eV/atom

Cell lengths 9.326, 9.326, 9.326 Å; angles 106.78, 106.78, 106.78 degrees
Sites, in units of the cell vectors:
La (0.119, 0.286, 0.819)
La (0.181, 0.881, 0.714)
La (0.194, 0.488, 0.584)
La (0.286, 0.819, 0.119)
La (0.416, 0.806, 0.512)
La (0.488, 0.584, 0.194)
La (0.512, 0.416, 0.806)
La (0.584, 0.194, 0.488)
La (0.714, 0.181, 0.881)
La (0.806, 0.512, 0.416)
La (0.819, 0.119, 0.286)
La (0.881, 0.714, 0.181)
Tb (0.000, 0.000, 0.000)
Ho (0.087, 0.442, 0.193)
Ho (0.193, 0.087, 0.442)
Ho (0.442, 0.193, 0.087)
Ho (0.558, 0.807, 0.913)
Ho (0.807, 0.913, 0.558)
Ho (0.913, 0.558, 0.807)


# 2
First-principles (GGA-PBE) data for La2Tb2Ho15 after structural relaxation, as listed in Alexandria.

**E**: -4.346 eV/atom
**N(E_F)**: 2.182 states/eV/atom
**Total magnetic moment**: 1.0 Bohr magnetons per cell
**Symmetry**: R-3m (166)
**Energy of formation from the pure elements**: 0.274 eV/atom

Cell lengths 8.725, 8.725, 8.725 Å; angles 80.80, 80.80, 80.80 degrees
Sites, in units of the cell vectors:
La (0.168, 0.168, 0.168)
La (0.832, 0.832, 0.832)
Tb (0.402, 0.402, 0.402)
Tb (0.598, 0.598, 0.598)
Ho (0.000, 0.500, 0.500)
Ho (0.136, 0.136, 0.650)
Ho (0.136, 0.650, 0.136)
Ho (0.202, 0.500, 0.798)
Ho (0.202, 0.798, 0.500)
Ho (0.350, 0.864, 0.864)
Ho (0.500, 0.000, 0.500)
Ho (0.500, 0.202, 0.798)
Ho (0.500, 0.500, 0.000)
Ho (0.500, 0.798, 0.202)
Ho (0.650, 0.136, 0.136)
Ho (0.798, 0.202, 0.500)
Ho (0.798, 0.500, 0.202)
Ho (0.864, 0.350, 0.864)
Ho (0.864, 0.864, 0.350)


# 3
First-principles (GGA-PBE) data for La6TbHo2 after structural relaxation, as listed in Alexandria.

**E**: -4.699 eV/atom
**N(E_F)**: 1.487 states/eV/atom
**Total magnetic moment**: 0.0 Bohr magnetons per cell
**Symmetry**: Cmmm (65)
**Relative energy among the computed polymorphs**: 0.55 eV per formula unit
**Energy of formation from the pure elements**: 0.117 eV/atom

Cell lengths 10.137, 10.137, 3.699 Å; angles 90.00, 90.00, 124.12 degrees
Sites, in units of the cell vectors:
La (0.006, 0.338, 0.000)
La (0.178, 0.178, 0.500)
La (0.338, 0.006, 0.000)
La (0.662, 0.994, 0.000)
La (0.822, 0.822, 0.500)
La (0.994, 0.662, 0.000)
Tb (0.500, 0.500, 0.000)
Ho (0.327, 0.673, 0.500)
Ho (0.673, 0.327, 0.500)


# 4
First-principles (GGA-PBE) data for La6TbHo12 after structural relaxation, as listed in Alexandria.

**E**: -4.470 eV/atom
**N(E_F)**: 1.705 states/eV/atom
**Total magnetic moment**: 0.0 Bohr magnetons per cell
**Symmetry**: R-3m (166)
**Relative energy among the computed polymorphs**: 1.69 eV per formula unit
**Energy of formation from the pure elements**: 0.221 eV/atom

Cell lengths 8.793, 8.793, 8.793 Å; angles 98.72, 98.72, 98.72 degrees
Sites, in units of the cell vectors:
La (0.154, 0.595, 0.595)
La (0.405, 0.405, 0.846)
La (0.405, 0.846, 0.405)
La (0.595, 0.154, 0.595)
La (0.595, 0.595, 0.154)
La (0.846, 0.405, 0.405)
Tb (0.500, 0.500, 0.500)
Ho (0.000, 0.254, 0.746)
Ho (0.000, 0.746, 0.254)
Ho (0.145, 0.145, 0.420)
Ho (0.145, 0.420, 0.145)
Ho (0.254, 0.000, 0.746)
Ho (0.254, 0.746, 0.000)
Ho (0.420, 0.145, 0.145)
Ho (0.580, 0.855, 0.855)
Ho (0.746, 0.000, 0.254)
Ho (0.746, 0.254, 0.000)
Ho (0.855, 0.580, 0.855)
Ho (0.855, 0.855, 0.580)


# 5
First-principles (GGA-PBE) data for La7TbHo3 after structural relaxation, as listed in Alexandria.

**E**: -4.593 eV/atom
**N(E_F)**: 1.427 states/eV/atom
**Total magnetic moment**: 0.0 Bohr magnetons per cell
**Symmetry**: Immm (71)
**Relative energy among the computed polymorphs**: 1.94 eV per formula unit
**Energy of formation from the pure elements**: 0.212 eV/atom

Cell lengths 8.672, 8.672, 8.672 Å; angles 139.46, 97.97, 95.82 degrees
Sites, in units of the cell vectors:
La (0.000, 0.000, 0.000)
La (0.095, 0.788, 0.306)
La (0.290, 0.500, 0.790)
La (0.482, 0.788, 0.694)
La (0.518, 0.212, 0.306)
La (0.710, 0.500, 0.210)
La (0.905, 0.212, 0.694)
Tb (0.000, 0.500, 0.500)
Ho (0.295, 0.295, 0.000)
Ho (0.500, 0.000, 0.500)
Ho (0.705, 0.705, 0.000)


# 6
First-principles (GGA-PBE) data for La4Tb4Ho5 after structural relaxation, as listed in Alexandria.

**E**: -4.672 eV/atom
**N(E_F)**: 1.641 states/eV/atom
**Total magnetic moment**: 0.0 Bohr magnetons per cell
**Symmetry**: I4/m (87)
**Energy of formation from the pure elements**: 0.029 eV/atom

Cell lengths 9.542, 9.542, 9.542 Å; angles 94.11, 94.11, 148.95 degrees
Sites, in units of the cell vectors:
La (0.079, 0.382, 0.461)
La (0.382, 0.921, 0.303)
La (0.618, 0.079, 0.697)
La (0.921, 0.618, 0.539)
Tb (0.153, 0.772, 0.924)
Tb (0.228, 0.153, 0.381)
Tb (0.772, 0.847, 0.619)
Tb (0.847, 0.228, 0.076)
Ho (0.000, 0.000, 0.000)
Ho (0.312, 0.540, 0.852)
Ho (0.460, 0.312, 0.773)
Ho (0.540, 0.688, 0.227)
Ho (0.688, 0.460, 0.148)


# 7
First-principles (GGA-PBE) data for La2TbHo7 after structural relaxation, as listed in Alexandria.

**E**: -4.626 eV/atom
**N(E_F)**: 1.438 states/eV/atom
**Total magnetic moment**: 0.0 Bohr magnetons per cell
**Symmetry**: P-1 (2)
**Relative energy among the computed polymorphs**: 0.00 eV per formula unit
**Energy of formation from the pure elements**: 0.027 eV/atom

Cell lengths 6.174, 6.189, 9.466 Å; angles 102.58, 108.99, 99.66 degrees
Sites, in units of the cell vectors:
La (0.102, 0.002, 0.201)
La (0.898, 0.998, 0.799)
Tb (0.500, 0.500, 0.500)
Ho (0.102, 0.501, 0.699)
Ho (0.298, 0.000, 0.599)
Ho (0.302, 0.502, 0.100)
Ho (0.500, 0.000, 0.000)
Ho (0.698, 0.498, 0.900)
Ho (0.702, 0.000, 0.401)
Ho (0.898, 0.499, 0.301)


# 8
First-principles (GGA-PBE) data for La2Tb12Ho5 after structural relaxation, as listed in Alexandria.

**E**: -4.509 eV/atom
**N(E_F)**: 1.448 states/eV/atom
**Total magnetic moment**: 0.0 Bohr magnetons per cell
**Symmetry**: C2/m (12)
**Relative energy among the computed polymorphs**: 0.93 eV per formula unit
**Energy of formation from the pure elements**: 0.138 eV/atom

Cell lengths 9.174, 9.174, 8.563 Å; angles 90.81, 90.81, 60.62 degrees
Sites, in units of the cell vectors:
La (0.186, 0.814, 0.000)
La (0.814, 0.186, 0.000)
Tb (0.060, 0.060, 0.328)
Tb (0.066, 0.684, 0.350)
Tb (0.162, 0.523, 0.756)
Tb (0.316, 0.934, 0.650)
Tb (0.405, 0.405, 0.117)
Tb (0.477, 0.838, 0.244)
Tb (0.523, 0.162, 0.756)
Tb (0.595, 0.595, 0.883)
Tb (0.684, 0.066, 0.350)
Tb (0.838, 0.477, 0.244)
Tb (0.934, 0.316, 0.650)
Tb (0.940, 0.940, 0.672)
Ho (0.197, 0.197, 0.009)
Ho (0.268, 0.268, 0.424)
Ho (0.500, 0.500, 0.500)
Ho (0.732, 0.732, 0.576)
Ho (0.803, 0.803, 0.991)


# 9
First-principles (GGA-PBE) data for LaTb5Ho4 after structural relaxation, as listed in Alexandria.

**E**: -4.454 eV/atom
**N(E_F)**: 1.381 states/eV/atom
**Total magnetic moment**: 0.0 Bohr magnetons per cell
**Symmetry**: C2/m (12)
**Relative energy among the computed polymorphs**: 0.00 eV per formula unit
**Energy of formation from the pure elements**: 0.185 eV/atom

Cell lengths 8.812, 8.812, 10.919 Å; angles 90.14, 90.14, 23.25 degrees
Sites, in units of the cell vectors:
La (0.000, 0.000, 0.000)
Tb (0.000, 0.000, 0.500)
Tb (0.325, 0.325, 0.056)
Tb (0.326, 0.326, 0.448)
Tb (0.674, 0.674, 0.552)
Tb (0.675, 0.675, 0.944)
Ho (0.151, 0.151, 0.250)
Ho (0.474, 0.474, 0.253)
Ho (0.526, 0.526, 0.747)
Ho (0.849, 0.849, 0.750)


# 10
First-principles (GGA-PBE) data for La3Tb5Ho4 after structural relaxation, as listed in Alexandria.

**E**: -4.662 eV/atom
**N(E_F)**: 1.447 states/eV/atom
**Total magnetic moment**: 0.0 Bohr magnetons per cell
**Symmetry**: P-1 (2)
**Relative energy among the computed polymorphs**: 0.00 eV per formula unit
**Energy of formation from the pure elements**: 0.025 eV/atom

Cell lengths 6.235, 7.180, 8.821 Å; angles 89.89, 89.79, 89.88 degrees
Sites, in units of the cell vectors:
La (0.000, 0.000, 0.000)
La (0.166, 0.252, 0.334)
La (0.834, 0.748, 0.666)
Tb (0.000, 0.500, 0.000)
Tb (0.336, 0.000, 0.667)
Tb (0.498, 0.748, 0.000)
Tb (0.502, 0.252, 0.000)
Tb (0.664, 0.000, 0.333)
Ho (0.170, 0.749, 0.333)
Ho (0.334, 0.499, 0.667)
Ho (0.666, 0.501, 0.333)
Ho (0.830, 0.251, 0.667)


# 11
First-principles (GGA-PBE) data for LaTb3Ho5 after structural relaxation, as listed in Alexandria.

**E**: -4.179 eV/atom
**N(E_F)**: 1.237 states/eV/atom
**Total magnetic moment**: 0.0 Bohr magnetons per cell
**Symmetry**: C2/m (12)
**Relative energy among the computed polymorphs**: 1.16 eV per formula unit
**Energy of formation from the pure elements**: 0.455 eV/atom

Cell lengths 9.151, 9.151, 11.914 Å; angles 123.94, 123.94, 56.92 degrees
Sites, in units of the cell vectors:
La (0.142, 0.142, 0.357)
La (0.858, 0.858, 0.643)
Tb (0.000, 0.000, 0.000)
Tb (0.000, 0.000, 0.500)
Tb (0.255, 0.255, 0.192)
Tb (0.275, 0.275, 0.710)
Tb (0.725, 0.725, 0.290)
Tb (0.745, 0.745, 0.808)
Ho (0.066, 0.705, 0.172)
Ho (0.295, 0.934, 0.828)
Ho (0.319, 0.681, 0.000)
Ho (0.348, 0.348, 0.030)
Ho (0.445, 0.445, 0.600)
Ho (0.555, 0.555, 0.400)
Ho (0.652, 0.652, 0.970)
Ho (0.681, 0.319, 0.000)
Ho (0.705, 0.066, 0.172)
Ho (0.934, 0.295, 0.828)


# 12
First-principles (GGA-PBE) data for La3Tb2Ho5 after structural relaxation, as listed in Alexandria.

**E**: -4.505 eV/atom
**N(E_F)**: 1.689 states/eV/atom
**Total magnetic moment**: 0.0 Bohr magnetons per cell
**Symmetry**: C2/c (15)
**Energy of formation from the pure elements**: 0.188 eV/atom

Cell lengths 9.797, 9.797, 9.332 Å; angles 108.21, 108.21, 113.83 degrees
Sites, in units of the cell vectors:
La (0.018, 0.270, 0.047)
La (0.235, 0.765, 0.750)
La (0.270, 0.018, 0.547)
La (0.730, 0.982, 0.453)
La (0.765, 0.235, 0.250)
La (0.982, 0.730, 0.953)
Tb (0.233, 0.466, 0.456)
Tb (0.466, 0.233, 0.956)
Tb (0.534, 0.767, 0.044)
Tb (0.767, 0.534, 0.544)
Ho (0.025, 0.975, 0.750)
Ho (0.151, 0.374, 0.773)
Ho (0.275, 0.725, 0.250)
Ho (0.374, 0.151, 0.273)
Ho (0.470, 0.530, 0.250)
Ho (0.530, 0.470, 0.750)
Ho (0.626, 0.849, 0.727)
Ho (0.725, 0.275, 0.750)
Ho (0.849, 0.626, 0.227)
Ho (0.975, 0.025, 0.250)


# 13
First-principles (GGA-PBE) data for La4Tb2Ho after structural relaxation, as listed in Alexandria.

**E**: -4.722 eV/atom
**N(E_F)**: 1.780 states/eV/atom
**Total magnetic moment**: 0.0 Bohr magnetons per cell
**Symmetry**: Cc (9)
**Relative energy among the computed polymorphs**: 0.00 eV per formula unit
**Energy of formation from the pure elements**: 0.070 eV/atom

Cell lengths 12.757, 12.757, 6.892 Å; angles 97.00, 97.00, 150.25 degrees
Sites, in units of the cell vectors:
La (0.019, 0.981, 0.500)
La (0.391, 0.783, 0.736)
La (0.408, 0.870, 0.279)
La (0.436, 0.544, 0.547)
La (0.544, 0.436, 0.047)
La (0.783, 0.391, 0.236)
La (0.870, 0.408, 0.779)
La (0.981, 0.019, 0.000)
Tb (0.268, 0.951, 0.684)
Tb (0.476, 0.660, 0.100)
Tb (0.660, 0.476, 0.600)
Tb (0.951, 0.268, 0.184)
Ho (0.165, 0.915, 0.141)
Ho (0.915, 0.165, 0.641)


# 14
First-principles (GGA-PBE) data for La7TbHo3 after structural relaxation, as listed in Alexandria.

**E**: -4.770 eV/atom
**N(E_F)**: 1.802 states/eV/atom
**Total magnetic moment**: 0.0 Bohr magnetons per cell
**Symmetry**: P1 (1)
**Relative energy among the computed polymorphs**: 0.00 eV per formula unit
**Energy of formation from the pure elements**: 0.035 eV/atom

Cell lengths 6.964, 9.498, 12.610 Å; angles 93.28, 99.17, 108.43 degrees
Sites, in units of the cell vectors:
La (0.000, 0.000, 0.000)
La (0.028, 0.650, 0.877)
La (0.120, 0.108, 0.516)
La (0.211, 0.569, 0.154)
La (0.357, 0.819, 0.545)
La (0.388, 0.479, 0.425)
La (0.453, 0.275, 0.184)
La (0.539, 0.733, 0.821)
La (0.636, 0.189, 0.455)
La (0.724, 0.646, 0.093)
La (0.753, 0.294, 0.970)
La (0.812, 0.100, 0.728)
La (0.848, 0.748, 0.607)
La (0.934, 0.201, 0.241)
Tb (0.086, 0.455, 0.637)
Tb (0.479, 0.932, 0.063)
Ho (0.179, 0.910, 0.275)
Ho (0.274, 0.366, 0.907)
Ho (0.298, 0.026, 0.788)
Ho (0.567, 0.384, 0.698)
Ho (0.666, 0.840, 0.333)
Ho (0.903, 0.553, 0.365)


# 15
First-principles (GGA-PBE) data for LaTb8Ho3 after structural relaxation, as listed in Alexandria.

**E**: -4.624 eV/atom
**N(E_F)**: 1.832 states/eV/atom
**Total magnetic moment**: 0.0 Bohr magnetons per cell
**Symmetry**: P1 (1)
**Energy of formation from the pure elements**: 0.018 eV/atom

Cell lengths 6.296, 8.480, 8.494 Å; angles 79.93, 68.26, 68.29 degrees
Sites, in units of the cell vectors:
La (0.000, 0.000, 0.000)
Tb (0.001, 0.665, 0.335)
Tb (0.002, 0.336, 0.664)
Tb (0.087, 0.580, 0.915)
Tb (0.087, 0.914, 0.581)
Tb (0.503, 0.169, 0.832)
Tb (0.503, 0.831, 0.169)
Tb (0.582, 0.085, 0.420)
Tb (0.582, 0.418, 0.086)
Ho (0.083, 0.251, 0.252)
Ho (0.504, 0.500, 0.500)
Ho (0.587, 0.748, 0.749)


# 16
First-principles (GGA-PBE) data for La2TbHo after structural relaxation, as listed in Alexandria.

**E**: -4.741 eV/atom
**N(E_F)**: 1.731 states/eV/atom
**Total magnetic moment**: 0.0 Bohr magnetons per cell
**Symmetry**: Cmmm (65)
**Relative energy among the computed polymorphs**: 0.05 eV per formula unit
**Energy of formation from the pure elements**: 0.025 eV/atom

Cell lengths 6.210, 6.210, 3.713 Å; angles 90.00, 90.00, 106.97 degrees
Sites, in units of the cell vectors:
La (0.000, 0.500, 0.000)
La (0.500, 0.000, 0.000)
Tb (0.000, 0.000, 0.500)
Ho (0.500, 0.500, 0.500)


# 17
First-principles (GGA-PBE) data for La9TbHo2 after structural relaxation, as listed in Alexandria.

**E**: -4.837 eV/atom
**N(E_F)**: 1.297 states/eV/atom
**Total magnetic moment**: 0.0 Bohr magnetons per cell
**Symmetry**: P4/mmm (123)
**Energy of formation from the pure elements**: 0.007 eV/atom

Cell lengths 5.200, 5.200, 15.607 Å; angles 90.00, 90.00, 90.00 degrees
Sites, in units of the cell vectors:
La (0.000, 0.000, 0.000)
La (0.000, 0.000, 0.334)
La (0.000, 0.000, 0.666)
La (0.000, 0.500, 0.167)
La (0.000, 0.500, 0.500)
La (0.000, 0.500, 0.833)
La (0.500, 0.000, 0.167)
La (0.500, 0.000, 0.500)
La (0.500, 0.000, 0.833)
Tb (0.500, 0.500, 0.000)
Ho (0.500, 0.500, 0.334)
Ho (0.500, 0.500, 0.666)


# 18
First-principles (GGA-PBE) data for La8Tb3Ho3 after structural relaxation, as listed in Alexandria.

**E**: -4.691 eV/atom
**N(E_F)**: 1.383 states/eV/atom
**Total magnetic moment**: 0.0 Bohr magnetons per cell
**Symmetry**: Immm (71)
**Energy of formation from the pure elements**: 0.098 eV/atom

Cell lengths 9.858, 9.858, 9.858 Å; angles 146.36, 111.61, 78.42 degrees
Sites, in units of the cell vectors:
La (0.055, 0.393, 0.662)
La (0.073, 0.230, 0.843)
La (0.268, 0.607, 0.662)
La (0.387, 0.230, 0.157)
La (0.613, 0.770, 0.843)
La (0.732, 0.393, 0.338)
La (0.927, 0.770, 0.157)
La (0.945, 0.607, 0.338)
Tb (0.324, 0.824, 0.500)
Tb (0.500, 0.500, 0.000)
Tb (0.676, 0.176, 0.500)
Ho (0.000, 0.000, 0.000)
Ho (0.301, 0.000, 0.301)
Ho (0.699, 0.000, 0.699)


# 19
First-principles (GGA-PBE) data for La3Tb3Ho5 after structural relaxation, as listed in Alexandria.

**E**: -3.911 eV/atom
**N(E_F)**: 1.252 states/eV/atom
**Total magnetic moment**: 0.0 Bohr magnetons per cell
**Symmetry**: P-62m (189)
**Energy of formation from the pure elements**: 0.776 eV/atom

Cell lengths 9.664, 9.664, 5.351 Å; angles 90.00, 90.00, 120.00 degrees
Sites, in units of the cell vectors:
La (0.000, 0.640, 0.000)
La (0.360, 0.360, 0.000)
La (0.640, 0.000, 0.000)
Tb (0.000, 0.483, 0.500)
Tb (0.483, 0.000, 0.500)
Tb (0.517, 0.517, 0.500)
Ho (0.000, 0.276, 0.000)
Ho (0.276, 0.000, 0.000)
Ho (0.333, 0.667, 0.000)
Ho (0.667, 0.333, 0.000)
Ho (0.724, 0.724, 0.000)